Y2Pd4Au3 | GGA-PBE | relaxed

a b c (Å): 4.839 4.688 8.692
angles (deg): 93.91 90.00 121.07
Fractional coordinates of all 9 atoms:
Y 0.664 0.327 0.774
Y 0.336 0.673 0.226
Au 0.325 0.650 0.569
Au 0.000 0.000 0.000
Au 0.675 0.350 0.431
Pd 0.007 0.014 0.337
Pd 0.668 0.336 0.100
Pd 0.332 0.664 0.900
Pd 0.993 0.986 0.663

## Properties
The calculation puts the density at 11.8 g/cm³. As for the density of states at the Fermi level: 3.18 states/eV/f.u. For the electronic total energy, the calculation gives -5.51 eV/atom. The value obtained for the spin magnetization is 0.000 μB per cell. The space group is No. 12.


CsSb2TePt | GGA-PBE | relaxed

a b c (Å): 6.137 6.137 6.079
angles (deg): 90.00 90.00 90.00
Fractional coordinates of all 5 atoms:
Te 0.000 0.000 0.500
Cs 0.000 0.000 0.000
Pt 0.500 0.500 0.500
Sb 0.000 0.500 0.000
Sb 0.500 0.000 0.000

## Properties
For the energy relative to the elements, uncorrected, the calculation gives 2.018 eV per atom. The calculation puts the density at 5.1 g/cm³. As for the density of states at the Fermi level: 8.30 states/eV/f.u. The value obtained for the spin magnetization is 0.000 μB per cell. The offset from the most stable computed form is 2.0703 eV per atom. The space group is No. 123.


Dy4ZrTl5 | GGA-PBE | relaxed

a b c (Å): 3.588 3.588 20.418
angles (deg): 90.00 90.00 90.00
Fractional coordinates of all 10 atoms:
Dy 0.000 0.000 0.397
Dy 0.000 0.000 0.603
Dy 0.000 0.000 0.806
Dy 0.000 0.000 0.194
Tl 0.500 0.500 0.500
Tl 0.500 0.500 0.704
Tl 0.500 0.500 0.907
Tl 0.500 0.500 0.296
Tl 0.500 0.500 0.093
Zr 0.000 0.000 0.000

## Properties
The calculation puts the density at 11.1 g/cm³. As for the density of states at the Fermi level: 6.84 states/eV/f.u. For the electronic total energy, the calculation gives -4.15 eV/atom. The value obtained for the spin magnetization is 0.000 μB per cell. The space group is No. 123.


PCl2 | GGA-PBE | relaxed

a b c (Å): 4.442 4.442 3.137
angles (deg): 90.00 90.00 90.00
Fractional coordinates of all 3 atoms:
P 0.000 0.000 0.000
Cl 0.500 0.000 0.500
Cl 0.000 0.500 0.500

## Properties
For the energy relative to the elements, uncorrected, the calculation gives 0.347 eV per atom. The calculation puts the density at 2.7 g/cm³. As for the density of states at the Fermi level: 1.91 states/eV/f.u. The value obtained for the spin magnetization is 0.000 μB per cell. The space group is No. 123.


Rb6InAu3 | GGA-PBE | relaxed

a b c (Å): 8.568 9.280 12.759
angles (deg): 94.18 90.00 90.00
Fractional coordinates of all 20 atoms:
Rb 0.871 0.310 0.403
Rb 0.499 0.705 0.234
Rb 0.371 0.190 0.097
Rb 0.129 0.690 0.597
Rb 0.153 0.638 0.914
Rb 0.999 0.795 0.266
Rb 0.629 0.810 0.903
Rb 0.001 0.205 0.734
Rb 0.653 0.862 0.586
Rb 0.501 0.295 0.766
Rb 0.347 0.138 0.414
Rb 0.847 0.362 0.086
Au 0.741 0.015 0.141
Au 0.500 0.500 0.000
Au 0.759 0.515 0.641
Au 0.000 0.000 0.500
Au 0.241 0.485 0.359
Au 0.259 0.985 0.859
In 0.500 0.500 0.500
In 0.000 0.000 0.000

## Properties
The calculation puts the density at 4.0 g/cm³. As for the density of states at the Fermi level: 3.71 states/eV/f.u. For the electronic total energy, the calculation gives -1.99 eV/atom. The value obtained for the spin magnetization is 0.000 μB per cell. The space group is No. 14.


Ti5Ga2Sb2 | GGA-PBE | relaxed

a b c (Å): 7.033 6.960 7.622
angles (deg): 90.00 62.52 90.00
Fractional coordinates of all 18 atoms:
Ti 0.040 0.670 0.251
Ti 0.000 0.000 0.000
Ti 0.292 0.670 0.749
Ti 0.460 0.170 0.749
Ti 0.708 0.330 0.251
Ti 0.540 0.830 0.251
Ti 0.960 0.330 0.749
Ti 0.792 0.830 0.749
Ti 0.208 0.170 0.251
Ti 0.500 0.500 0.000
Sb 0.792 0.000 0.416
Sb 0.708 0.500 0.584
Sb 0.292 0.500 0.416
Sb 0.208 0.000 0.584
Ga 0.632 0.130 0.000
Ga 0.132 0.370 0.000
Ga 0.868 0.630 0.000
Ga 0.368 0.870 0.000

## Properties
For the energy relative to the elements, uncorrected, the calculation gives -0.493 eV per atom. The calculation puts the density at 6.2 g/cm³. As for the density of states at the Fermi level: 8.81 states/eV/f.u. The value obtained for the spin magnetization is 0.000 μB per cell. The space group is No. 64.


Q: spin magnetization of number 3 (Dy4ZrTl5)?
A: 0.000 μB per cell